Entry 1:
Mg3Hg4Bi: optimized geometry, PBE.

```
Mg3Hg4Bi
1.0
6.133 0.000 0.000
0.000 6.133 0.000
0.000 0.000 6.133
Mg Hg Bi
3 4 1
Direct
0.000 0.000 0.500
0.000 0.500 0.000
0.500 0.000 0.000
0.320 0.320 0.320
0.320 0.680 0.680
0.680 0.320 0.680
0.680 0.680 0.320
0.000 0.000 0.000
```

Calculated values
Its density of states at the Fermi level is 0.55 states/eV per atom. Its electronic total energy is -0.044 Ha/atom. For the formation energy, the calculation gives 0.846 kcal/mol of atoms. The total moment is 0.00 Bohr magnetons per cell.

---

Entry 2:
Mg4HgBi: optimized geometry, PBE.

```
Mg4HgBi
1.0
0.000 4.196 4.196
4.196 0.000 4.196
4.196 4.196 0.000
Mg Hg Bi
4 1 1
Direct
0.125 0.125 0.125
0.125 0.125 0.626
0.125 0.626 0.125
0.626 0.125 0.125
0.750 0.750 0.750
0.500 0.500 0.500
```

Calculated values
Its density of states at the Fermi level is 0.43 states/eV per atom. Its electronic total energy is -0.064 Ha/atom. For the formation energy, the calculation gives 0.478 kcal/mol of atoms. The total moment is 0.00 Bohr magnetons per cell.

---

Entry 3:
MgHg3Bi: optimized geometry, PBE.

```
MgHg3Bi
1.0
5.326 0.000 0.000
0.000 5.326 0.000
0.000 0.000 5.326
Mg Hg Bi
1 3 1
Direct
0.000 0.000 0.000
0.000 0.000 0.500
0.000 0.500 0.000
0.500 0.000 0.000
0.500 0.500 0.500
```

Calculated values
Its density of states at the Fermi level is 0.61 states/eV per atom. Its electronic total energy is -0.037 Ha/atom. For the formation energy, the calculation gives 6.209 kcal/mol of atoms. The total moment is 0.00 Bohr magnetons per cell.

---

Entry 4:
Mg3HgBi2: optimized geometry, PBE.

```
Mg3HgBi2
1.0
7.342 -3.154 0.000
7.342 3.154 0.000
-0.924 0.000 6.766
Mg Hg Bi
6 2 4
Direct
0.181 0.819 0.750
0.296 0.391 0.947
0.391 0.296 0.447
0.609 0.704 0.553
0.704 0.609 0.053
0.819 0.181 0.250
0.372 0.628 0.250
0.628 0.372 0.750
0.118 0.207 0.636
0.207 0.118 0.136
0.793 0.882 0.864
0.882 0.793 0.364
```

Calculated values
Its density of states at the Fermi level is 0.32 states/eV per atom. Its electronic total energy is -0.083 Ha/atom. For the formation energy, the calculation gives -2.973 kcal/mol of atoms. The total moment is 0.00 Bohr magnetons per cell.

---

Entry 5:
Mg6HgBi: optimized geometry, PBE.

```
Mg6HgBi
1.0
4.510 0.000 0.000
0.000 4.510 0.000
0.000 0.000 9.087
Mg Hg Bi
6 1 1
Direct
0.000 0.000 0.000
0.000 0.000 0.500
0.000 0.500 0.233
0.000 0.500 0.767
0.500 0.000 0.233
0.500 0.000 0.767
0.500 0.500 0.000
0.500 0.500 0.500
```

Calculated values
Its density of states at the Fermi level is 0.40 states/eV per atom. Its electronic total energy is -0.067 Ha/atom. For the formation energy, the calculation gives -2.704 kcal/mol of atoms. The total moment is 0.00 Bohr magnetons per cell.

---

Entry 6:
Mg3Hg12Bi5: optimized geometry, PBE.

```
Mg3Hg12Bi5
1.0
-8.606 8.606 8.606
8.606 -8.606 8.606
8.606 8.606 -8.606
Mg Hg Bi
12 48 20
Direct
0.125 0.250 0.375
0.125 0.375 0.750
0.250 0.375 0.125
0.250 0.875 0.625
0.375 0.125 0.250
0.375 0.750 0.125
0.625 0.250 0.875
0.625 0.875 0.750
0.750 0.125 0.375
0.750 0.625 0.875
0.875 0.625 0.250
0.875 0.750 0.625
0.064 0.634 0.392
0.064 0.929 0.671
0.071 0.242 0.134
0.071 0.329 0.936
0.108 0.742 0.671
0.108 0.866 0.436
0.134 0.071 0.242
0.134 0.564 0.892
0.171 0.242 0.608
0.171 0.429 0.564
0.242 0.134 0.071
0.242 0.608 0.171
0.258 0.329 0.892
0.258 0.429 0.366
0.329 0.892 0.258
0.329 0.936 0.071
0.366 0.258 0.429
0.366 0.608 0.936
0.392 0.064 0.634
0.392 0.829 0.758
0.429 0.366 0.258
0.429 0.564 0.171
0.436 0.108 0.866
0.436 0.829 0.571
0.564 0.171 0.429
0.564 0.892 0.134
0.571 0.436 0.829
0.571 0.634 0.742
0.608 0.171 0.242
0.608 0.936 0.366
0.634 0.392 0.064
0.634 0.742 0.571
0.671 0.064 0.929
0.671 0.108 0.742
0.742 0.571 0.634
0.742 0.671 0.108
0.758 0.392 0.829
0.758 0.866 0.929
0.829 0.571 0.436
0.829 0.758 0.392
0.866 0.436 0.108
0.866 0.929 0.758
0.892 0.134 0.564
0.892 0.258 0.329
0.929 0.671 0.064
0.929 0.758 0.866
0.936 0.071 0.329
0.936 0.366 0.608
0.000 0.000 0.000
0.000 0.000 0.500
0.000 0.500 0.000
0.000 0.500 0.500
0.125 0.750 0.875
0.125 0.875 0.250
0.250 0.125 0.875
0.250 0.625 0.375
0.375 0.250 0.625
0.375 0.625 0.750
0.500 0.000 0.000
0.500 0.000 0.500
0.500 0.500 0.000
0.500 0.500 0.500
0.625 0.375 0.250
0.625 0.750 0.375
0.750 0.375 0.625
0.750 0.875 0.125
0.875 0.125 0.750
0.875 0.250 0.125
```

Calculated values
Its density of states at the Fermi level is 0.79 states/eV per atom. Its electronic total energy is -0.047 Ha/atom. For the formation energy, the calculation gives 2.758 kcal/mol of atoms. The total moment is 0.00 Bohr magnetons per cell.

---

Entry 7:
Mg2Hg2Bi: optimized geometry, PBE.

```
Mg2Hg2Bi
1.0
-2.135 2.135 7.088
2.135 -2.135 7.088
2.135 2.135 -7.088
Mg Hg Bi
2 2 1
Direct
0.102 0.102 0.000
0.898 0.898 0.000
0.250 0.750 0.500
0.750 0.250 0.500
0.500 0.500 0.000
```

Calculated values
Its density of states at the Fermi level is 0.42 states/eV per atom. Its electronic total energy is -0.058 Ha/atom. For the formation energy, the calculation gives -1.074 kcal/mol of atoms. The total moment is 0.00 Bohr magnetons per cell.

---

Entry 8:
MgHgBi: optimized geometry, PBE.

```
MgHgBi
1.0
3.514 0.000 0.000
0.000 4.461 0.000
0.000 0.000 11.163
Mg Hg Bi
2 2 2
Direct
0.250 0.250 0.081
0.750 0.750 0.919
0.250 0.750 0.567
0.750 0.250 0.433
0.250 0.250 0.806
0.750 0.750 0.194
```

Calculated values
Its density of states at the Fermi level is 0.43 states/eV per atom. Its electronic total energy is -0.074 Ha/atom. For the formation energy, the calculation gives -2.155 kcal/mol of atoms. The total moment is 0.00 Bohr magnetons per cell.

---

Entry 9:
Mg3Hg2Bi: optimized geometry, PBE.

```
Mg3Hg2Bi
1.0
3.427 0.000 0.000
0.000 3.427 0.000
0.000 0.000 11.964
Mg Hg Bi
3 2 1
Direct
0.000 0.000 0.000
0.000 0.000 0.303
0.000 0.000 0.697
0.500 0.500 0.156
0.500 0.500 0.844
0.500 0.500 0.500
```

Calculated values
Its density of states at the Fermi level is 0.37 states/eV per atom. Its electronic total energy is -0.063 Ha/atom. For the formation energy, the calculation gives -3.963 kcal/mol of atoms. The total moment is 0.00 Bohr magnetons per cell.

---

Entry 10:
MgHgBi: optimized geometry, PBE.

```
MgHgBi
1.0
4.876 0.000 0.000
-2.438 4.223 0.000
0.000 0.000 3.880
Mg Hg Bi
1 1 1
Direct
0.000 0.000 0.000
0.667 0.333 0.195
0.333 0.667 0.607
```

Calculated values
Its density of states at the Fermi level is 0.35 states/eV per atom. Its electronic total energy is -0.072 Ha/atom. For the formation energy, the calculation gives -0.870 kcal/mol of atoms. The total moment is 0.00 Bohr magnetons per cell.

---

Entry 11:
Mg2Hg2Bi: optimized geometry, PBE.

```
Mg2Hg2Bi
1.0
8.384 0.000 0.000
0.000 8.384 0.000
0.000 0.000 3.496
Mg Hg Bi
4 4 2
Direct
0.147 0.353 0.000
0.353 0.853 0.000
0.647 0.147 0.000
0.853 0.647 0.000
0.150 0.650 0.500
0.350 0.150 0.500
0.650 0.850 0.500
0.850 0.350 0.500
0.000 0.000 0.000
0.500 0.500 0.000
```

Calculated values
Its density of states at the Fermi level is 0.40 states/eV per atom. Its electronic total energy is -0.061 Ha/atom. For the formation energy, the calculation gives -2.690 kcal/mol of atoms. The total moment is 0.00 Bohr magnetons per cell.

---

Entry 12:
Mg3HgBi2: optimized geometry, PBE.

```
Mg3HgBi2
1.0
12.692 -1.728 0.000
12.692 1.728 0.000
-0.274 0.000 14.553
Mg Hg Bi
9 3 6
Direct
0.000 0.000 0.000
0.029 0.029 0.700
0.095 0.095 0.530
0.295 0.295 0.450
0.424 0.424 0.652
0.576 0.576 0.348
0.705 0.705 0.550
0.905 0.905 0.470
0.971 0.971 0.300
0.435 0.435 0.107
0.500 0.500 0.500
0.565 0.565 0.893
0.064 0.064 0.177
0.182 0.182 0.377
0.367 0.367 0.292
0.633 0.633 0.708
0.818 0.818 0.623
0.936 0.936 0.823
```

Calculated values
Its density of states at the Fermi level is 0.16 states/eV per atom. Its electronic total energy is -0.082 Ha/atom. For the formation energy, the calculation gives -2.227 kcal/mol of atoms. The total moment is 0.00 Bohr magnetons per cell.